Entry 1:
This record from the Alexandria database describes a relaxed Tb6HoEr8 crystal. The functional is PBE-GGA.

## Properties
**Energy relative to the elements**: 127 meV per atom
**DOS(E_F)**: 22.25 states/eV per cell
**Crystal system**: trigonal

abc: 8.551 8.551 8.551
angles: 63.15 63.15 63.15
Element x y z (fractional)
Tb (0.040, 0.609, 0.725)
Tb (0.275, 0.960, 0.391)
Tb (0.391, 0.275, 0.960)
Tb (0.609, 0.725, 0.040)
Tb (0.725, 0.040, 0.609)
Tb (0.960, 0.391, 0.275)
Ho (0.500, 0.500, 0.500)
Er (0.077, 0.077, 0.077)
Er (0.221, 0.610, 0.244)
Er (0.244, 0.221, 0.610)
Er (0.390, 0.756, 0.779)
Er (0.610, 0.244, 0.221)
Er (0.756, 0.779, 0.390)
Er (0.779, 0.390, 0.756)
Er (0.923, 0.923, 0.923)



Entry 2:
This record from the Alexandria database describes a relaxed Tb2Ho3Er3 crystal. The functional is PBE-GGA.

## Properties
**Relative energy among the computed polymorphs**: 0 kJ/mol of formula units
**Energy relative to the elements**: 3 meV per atom
**DOS(E_F)**: 11.10 states/eV per cell
**Crystal system**: monoclinic

abc: 11.931 11.931 6.118
angles: 104.85 104.85 17.02
Element x y z (fractional)
Tb (0.250, 0.250, 0.250)
Tb (0.750, 0.750, 0.750)
Ho (0.000, 0.000, 0.000)
Ho (0.124, 0.124, 0.458)
Ho (0.876, 0.876, 0.542)
Er (0.375, 0.375, 0.042)
Er (0.500, 0.500, 0.500)
Er (0.625, 0.625, 0.958)



Entry 3:
This record from the Alexandria database describes a relaxed Tb4Ho8Er crystal. The functional is PBE-GGA.

## Properties
**Relative energy among the computed polymorphs**: 10 kJ/mol of formula units
**Energy relative to the elements**: 221 meV per atom
**DOS(E_F)**: 15.42 states/eV per cell
**Crystal system**: trigonal

abc: 9.977 9.977 9.977
angles: 42.52 42.52 42.52
Element x y z (fractional)
Tb (0.000, 0.000, 0.000)
Tb (0.000, 0.500, 0.500)
Tb (0.500, 0.000, 0.500)
Tb (0.500, 0.500, 0.000)
Ho (0.197, 0.750, 0.750)
Ho (0.215, 0.215, 0.215)
Ho (0.250, 0.250, 0.803)
Ho (0.250, 0.803, 0.250)
Ho (0.750, 0.197, 0.750)
Ho (0.750, 0.750, 0.197)
Ho (0.785, 0.785, 0.785)
Ho (0.803, 0.250, 0.250)
Er (0.500, 0.500, 0.500)



Entry 4:
This record from the Alexandria database describes a relaxed TbHo5Er7 crystal. The functional is PBE-GGA.

## Properties
**Energy relative to the elements**: 261 meV per atom
**DOS(E_F)**: 24.28 states/eV per cell
**Crystal system**: orthorhombic

abc: 8.581 8.581 8.581
angles: 134.57 100.50 96.66
Element x y z (fractional)
Tb (0.000, 0.000, 0.000)
Ho (0.031, 0.036, 0.459)
Ho (0.031, 0.572, 0.995)
Ho (0.306, 0.806, 0.500)
Ho (0.577, 0.036, 0.005)
Ho (0.577, 0.572, 0.541)
Er (0.225, 0.554, 0.670)
Er (0.306, 0.306, 0.000)
Er (0.385, 0.055, 0.330)
Er (0.612, 0.612, 0.000)
Er (0.726, 0.055, 0.670)
Er (0.805, 0.305, 0.500)
Er (0.884, 0.554, 0.330)



Entry 5:
This record from the Alexandria database describes a relaxed TbHo10Er4 crystal. The functional is PBE-GGA.

## Properties
**Energy relative to the elements**: 726 meV per atom
**DOS(E_F)**: 14.85 states/eV per cell
**Crystal system**: tetragonal

abc: 9.315 9.315 9.315
angles: 99.58 99.58 131.85
Element x y z (fractional)
Tb (0.000, 0.000, 0.000)
Ho (0.050, 0.151, 0.699)
Ho (0.151, 0.451, 0.101)
Ho (0.250, 0.750, 0.500)
Ho (0.351, 0.050, 0.899)
Ho (0.451, 0.351, 0.301)
Ho (0.549, 0.649, 0.699)
Ho (0.649, 0.950, 0.101)
Ho (0.750, 0.250, 0.500)
Ho (0.849, 0.549, 0.899)
Ho (0.950, 0.849, 0.301)
Er (0.200, 0.600, 0.800)
Er (0.400, 0.200, 0.600)
Er (0.600, 0.800, 0.400)
Er (0.800, 0.400, 0.200)



Entry 6:
This record from the Alexandria database describes a relaxed Tb5Ho3Er4 crystal. The functional is PBE-GGA.

## Properties
**Relative energy among the computed polymorphs**: 262 kJ/mol of formula units
**Energy relative to the elements**: 244 meV per atom
**DOS(E_F)**: 19.58 states/eV per cell
**Crystal system**: monoclinic

abc: 8.504 8.504 9.191
angles: 114.99 114.99 40.00
Element x y z (fractional)
Tb (0.000, 0.000, 0.000)
Tb (0.326, 0.326, 0.614)
Tb (0.425, 0.425, 0.299)
Tb (0.575, 0.575, 0.701)
Tb (0.674, 0.674, 0.386)
Ho (0.209, 0.209, 0.230)
Ho (0.500, 0.500, 0.000)
Ho (0.791, 0.791, 0.770)
Er (0.080, 0.080, 0.439)
Er (0.214, 0.214, 0.878)
Er (0.786, 0.786, 0.122)
Er (0.920, 0.920, 0.561)



Entry 7:
This record from the Alexandria database describes a relaxed TbHo5Er4 crystal. The functional is PBE-GGA.

## Properties
**Relative energy among the computed polymorphs**: 19 kJ/mol of formula units
**Energy relative to the elements**: 21 meV per atom
**DOS(E_F)**: 13.85 states/eV per cell
**Crystal system**: triclinic

abc: 6.084 7.018 7.855
angles: 77.13 75.07 73.08
Element x y z (fractional)
Tb (0.000, 0.000, 0.000)
Ho (0.000, 0.500, 0.000)
Ho (0.200, 0.800, 0.599)
Ho (0.400, 0.100, 0.200)
Ho (0.600, 0.400, 0.799)
Ho (0.600, 0.900, 0.799)
Er (0.200, 0.300, 0.599)
Er (0.400, 0.600, 0.200)
Er (0.800, 0.200, 0.400)
Er (0.800, 0.700, 0.400)



Entry 8:
This record from the Alexandria database describes a relaxed Tb3Ho3Er4 crystal. The functional is PBE-GGA.

## Properties
**Energy relative to the elements**: 93 meV per atom
**DOS(E_F)**: 8.08 states/eV per cell
**Crystal system**: orthorhombic

abc: 3.645 9.274 9.274
angles: 89.95 90.00 90.00
Element x y z (fractional)
Tb (0.000, 0.000, 0.000)
Tb (0.000, 0.500, 0.846)
Tb (0.000, 0.846, 0.500)
Ho (0.000, 0.346, 0.346)
Ho (0.500, 0.173, 0.671)
Ho (0.500, 0.671, 0.173)
Er (0.500, 0.048, 0.299)
Er (0.500, 0.299, 0.048)
Er (0.500, 0.547, 0.547)
Er (0.500, 0.798, 0.798)



Entry 9:
This record from the Alexandria database describes a relaxed Tb3Ho4Er8 crystal. The functional is PBE-GGA.

## Properties
**Relative energy among the computed polymorphs**: 0 kJ/mol of formula units
**Energy relative to the elements**: 148 meV per atom
**DOS(E_F)**: 22.10 states/eV per cell
**Crystal system**: trigonal

abc: 12.272 12.272 12.272
angles: 32.44 32.44 32.44
Element x y z (fractional)
Tb (0.000, 0.500, 0.500)
Tb (0.500, 0.000, 0.500)
Tb (0.500, 0.500, 0.000)
Ho (0.000, 0.000, 0.000)
Ho (0.164, 0.164, 0.164)
Ho (0.500, 0.500, 0.500)
Ho (0.836, 0.836, 0.836)
Er (0.251, 0.251, 0.749)
Er (0.251, 0.749, 0.251)
Er (0.251, 0.749, 0.749)
Er (0.255, 0.255, 0.255)
Er (0.745, 0.745, 0.745)
Er (0.749, 0.251, 0.251)
Er (0.749, 0.251, 0.749)
Er (0.749, 0.749, 0.251)



Entry 10:
This record from the Alexandria database describes a relaxed Tb4Ho2Er5 crystal. The functional is PBE-GGA.

## Properties
**Energy relative to the elements**: 58 meV per atom
**DOS(E_F)**: 17.04 states/eV per cell
**Crystal system**: monoclinic

abc: 10.810 10.810 9.129
angles: 102.32 102.32 19.28
Element x y z (fractional)
Tb (0.027, 0.027, 0.202)
Tb (0.328, 0.328, 0.583)
Tb (0.672, 0.672, 0.417)
Tb (0.973, 0.973, 0.798)
Ho (0.385, 0.385, 0.995)
Ho (0.615, 0.615, 0.005)
Er (0.118, 0.118, 0.695)
Er (0.249, 0.249, 0.170)
Er (0.500, 0.500, 0.500)
Er (0.751, 0.751, 0.830)
Er (0.882, 0.882, 0.305)



Entry 11:
This record from the Alexandria database describes a relaxed Tb4HoEr8 crystal. The functional is PBE-GGA.

## Properties
**Energy relative to the elements**: 225 meV per atom
**DOS(E_F)**: 16.11 states/eV per cell
**Crystal system**: trigonal

abc: 9.908 9.908 9.908
angles: 42.79 42.79 42.79
Element x y z (fractional)
Tb (0.000, 0.000, 0.000)
Tb (0.000, 0.500, 0.500)
Tb (0.500, 0.000, 0.500)
Tb (0.500, 0.500, 0.000)
Ho (0.500, 0.500, 0.500)
Er (0.195, 0.750, 0.750)
Er (0.216, 0.216, 0.216)
Er (0.250, 0.250, 0.805)
Er (0.250, 0.805, 0.250)
Er (0.750, 0.195, 0.750)
Er (0.750, 0.750, 0.195)
Er (0.784, 0.784, 0.784)
Er (0.805, 0.250, 0.250)



Entry 12:
This record from the Alexandria database describes a relaxed Tb6Ho4Er crystal. The functional is PBE-GGA.

## Properties
**Relative energy among the computed polymorphs**: 0 kJ/mol of formula units
**Energy relative to the elements**: 129 meV per atom
**DOS(E_F)**: 39.45 states/eV per cell
**Crystal system**: orthorhombic

abc: 5.566 5.566 25.439
angles: 90.00 90.00 118.45
Element x y z (fractional)
Tb (0.000, 0.000, 0.000)
Tb (0.000, 0.000, 0.500)
Tb (0.034, 0.966, 0.750)
Tb (0.303, 0.697, 0.104)
Tb (0.303, 0.697, 0.396)
Tb (0.367, 0.633, 0.682)
Tb (0.367, 0.633, 0.818)
Tb (0.633, 0.367, 0.182)
Tb (0.633, 0.367, 0.318)
Tb (0.697, 0.303, 0.604)
Tb (0.697, 0.303, 0.896)
Tb (0.966, 0.034, 0.250)
Ho (0.037, 0.963, 0.622)
Ho (0.037, 0.963, 0.878)
Ho (0.347, 0.653, 0.543)
Ho (0.347, 0.653, 0.957)
Ho (0.653, 0.347, 0.043)
Ho (0.653, 0.347, 0.457)
Ho (0.963, 0.037, 0.122)
Ho (0.963, 0.037, 0.378)
Er (0.301, 0.699, 0.250)
Er (0.699, 0.301, 0.750)



Question: Among the records above, which one has the highest energy relative to the elements?
Answer: TbHo10Er4



Question: The lowest DOS(E_F) belongs to which entry?
Answer: Tb3Ho3Er4